DFT (PBE) results for a relaxed structure of KAg6Se4.

Computed properties:
**Raw formation energy**: -0.18 eV/atom
**Distance to the lowest polymorph of the same formula**: 0.053 eV per atom
**Density**: 6.86 g cm⁻³
**Space-group type**: P-6m2 (187)
**Total moment**: 0.0 μB per formula unit

CIF file:
```
data_KAg6Se4
_chemical_formula_sum 'K1 Ag6 Se4'
_space_group_name_H-M_alt 'P 1'
_space_group_IT_number 1
_space_group_name_Hall 'P 1'
_cell_length_a 8.2027
_cell_length_b 8.2027
_cell_length_c 4.1631
_cell_angle_alpha 90.00
_cell_angle_beta 90.00
_cell_angle_gamma 120.00
loop_
_atom_site_label
_atom_site_fract_x
_atom_site_fract_y
_atom_site_fract_z
K1 0.0000 0.0000 0.0000
Ag1 0.2002 0.4004 0.5000
Ag2 0.2002 0.7998 0.5000
Ag3 0.5448 0.0895 0.0000
Ag4 0.5448 0.4552 0.0000
Ag5 0.5996 0.7998 0.5000
Ag6 0.9105 0.4552 0.0000
Se1 0.3333 0.6667 0.0000
Se2 0.3641 0.1820 0.5000
Se3 0.8180 0.1820 0.5000
Se4 0.8180 0.6359 0.5000
```

=====

DFT (PBE) results for a relaxed structure of TbHo6Ni2.

Computed properties:
**Final energy**: -4.9816 eV/atom
**Density**: 8.95 g cm⁻³
**Space-group type**: Immm (71)
**Total moment**: 0.0 μB per formula unit

CIF file:
```
data_TbHo6Ni2
_chemical_formula_sum 'Tb2 Ho12 Ni4'
_space_group_name_H-M_alt 'P 1'
_space_group_IT_number 1
_space_group_name_Hall 'P 1'
_cell_length_a 8.5084
_cell_length_b 8.5084
_cell_length_c 8.5084
_cell_angle_alpha 115.64
_cell_angle_beta 107.02
_cell_angle_gamma 105.94
loop_
_atom_site_label
_atom_site_fract_x
_atom_site_fract_y
_atom_site_fract_z
Tb1 0.0000 0.0000 0.0000
Tb2 0.5000 0.5000 0.0000
Ho1 0.0061 0.2246 0.7815
Ho2 0.1910 0.3027 0.4937
Ho3 0.1910 0.6973 0.8882
Ho4 0.3120 0.0071 0.6951
Ho5 0.3120 0.6169 0.3049
Ho6 0.4430 0.2246 0.2185
Ho7 0.5570 0.7754 0.7815
Ho8 0.6880 0.3831 0.6951
Ho9 0.6880 0.9929 0.3049
Ho10 0.8090 0.3027 0.1118
Ho11 0.8090 0.6973 0.5063
Ho12 0.9939 0.7754 0.2185
Ni1 0.1195 0.6195 0.5000
Ni2 0.3652 0.0000 0.3652
Ni3 0.6348 0.0000 0.6348
Ni4 0.8805 0.3805 0.5000
```